Li4Fe3Cu2Sn3O16 | the Alexandria database | GGA+U | relaxed; spin magnetization = 0.4275 μB/atom; total DFT energy (no corrections) = -0.212 hartree per atom
1.0
5.955 -0.008 -0.045
-2.965 5.404 -0.181
-0.053 -0.358 9.741
Sn Cu Fe Li O
3 2 3 4 16
direct
0.191 0.370 0.214
0.318 0.145 0.713
0.201 0.872 0.212
0.680 0.342 0.983
0.341 0.685 0.488
0.686 0.868 0.208
0.821 0.625 0.718
0.807 0.133 0.715
0.697 0.358 0.405
0.343 0.659 0.894
0.922 0.928 0.489
0.977 0.003 0.991
0.539 0.021 0.323
0.632 0.802 0.612
0.069 0.570 0.349
0.845 0.701 0.102
0.855 0.194 0.094
0.969 0.968 0.807
0.018 0.041 0.316
0.958 0.448 0.836
0.503 0.560 0.359
0.090 0.250 0.605
0.333 0.180 0.090
0.519 0.469 0.843
0.357 0.685 0.100
0.144 0.798 0.598
0.527 0.030 0.839
0.656 0.297 0.606